## NaLaDyFeO6 (PBE+U)

Data for a relaxed NaLaDyFeO6 crystal.

Unit cell a=5.694 b=5.694 c=5.694 alpha=60.00 beta=60.00 gamma=60.00
Fractional coordinates of all 10 atoms:
O 0.269 0.269 0.731
O 0.731 0.269 0.269
O 0.269 0.731 0.731
O 0.731 0.269 0.731
O 0.269 0.731 0.269
O 0.731 0.731 0.269
Dy 0.000 0.000 0.000
Na 0.750 0.750 0.750
Fe 0.500 0.500 0.500
La 0.250 0.250 0.250

Results
symmetry	F-43m, No. 216
D(E_F)	0.025	states/eV/atom
energy	-6.7855	eV/atom